[1]
Zr3Sc3Sb2Os | GGA-PBE | relaxed

Structure (POSCAR):
```
Zr3Sc3Sb2Os
1.0
7.8764 0.0000 0.0000
-3.9382 6.8211 0.0000
0.0000 0.0000 3.7277
Sc Os Zr Sb
3 1 3 2
direct
0.6049 0.6049 0.0000
0.0000 0.3951 0.0000
0.3951 0.0000 0.0000
0.0000 0.0000 0.0000
0.2473 0.2473 0.5000
0.0000 0.7527 0.5000
0.7527 0.0000 0.5000
0.6667 0.3333 0.5000
0.3333 0.6667 0.5000
```

Values from the calculation:
Space group   P-62m (189)
Total energy   -7.720 eV per atom
Offset from the most stable computed form   0.0 meV/atom



[2]
Lu2Ag2O5 | GGA-PBE | relaxed

Structure (POSCAR):
```
Lu2Ag2O5
1.0
-1.7926 -5.8464 3.2359
-0.1943 -1.9259 -3.5872
3.9321 -1.0204 0.3348
Lu O Ag
2 5 2
direct
0.5000 0.0000 0.0000
0.0000 0.0000 0.0000
0.7892 0.5000 0.0000
0.7892 0.0000 0.5000
0.5000 0.5000 0.5000
0.2108 0.0000 0.5000
0.2108 0.5000 0.0000
0.1905 0.5000 0.5000
0.8095 0.5000 0.5000
```

Values from the calculation:
Space group   P4/mmm (123)
Total energy   -5.692 eV per atom
Offset from the most stable computed form   408.8 meV/atom



[3]
YTeAuO | GGA-PBE | relaxed

Structure (POSCAR):
```
YTeAuO
1.0
10.0722 0.0000 0.0000
0.0000 5.6991 0.0000
0.0000 0.0000 5.6989
Au Te Y O
4 4 4 4
direct
0.4989 0.7500 0.0000
0.4989 0.7500 0.5000
0.5011 0.2500 0.0000
0.5011 0.2500 0.5000
0.2861 0.4992 0.7500
0.7139 0.5008 0.2500
0.2861 0.0008 0.2500
0.7139 0.9992 0.7500
0.1067 0.5003 0.2500
0.8933 0.4997 0.7500
0.1067 0.9997 0.7500
0.8933 0.0003 0.2500
0.9999 0.7500 0.0000
0.0001 0.2500 0.0000
0.9999 0.7500 0.5000
0.0001 0.2500 0.5000
```

Values from the calculation:
Space group   Pbcm (57)
Total energy   -6.194 eV per atom
Offset from the most stable computed form   40.7 meV/atom



[4]
TaCoBiIr | GGA-PBE | relaxed

Structure (POSCAR):
```
TaCoBiIr
1.0
0.0000 3.2579 3.2579
3.2579 0.0000 3.2579
3.2579 3.2579 0.0000
Co Ir Bi Ta
1 1 1 1
direct
0.7500 0.7500 0.7500
0.2500 0.2500 0.2500
0.0000 0.0000 0.0000
0.5000 0.5000 0.5000
```

Values from the calculation:
Space group   F-43m (216)
Total energy   -7.644 eV per atom
Offset from the most stable computed form   0.0 meV/atom



[5]
PuZnSb2 | GGA-PBE | relaxed

Structure (POSCAR):
```
PuZnSb2
1.0
4.3646 0.0000 0.0000
0.0000 4.3646 0.0000
0.0000 0.0000 9.9604
Sb Pu Zn
4 2 2
direct
0.5000 0.0000 0.1791
0.5000 0.5000 0.5000
0.0000 0.5000 0.8209
0.0000 0.0000 0.5000
0.0000 0.5000 0.2595
0.5000 0.0000 0.7405
0.0000 0.0000 0.0000
0.5000 0.5000 0.0000
```

Values from the calculation:
Space group   P4/nmm (129)
Total energy   -6.358 eV per atom



[6]
AlRe2Os | GGA-PBE | relaxed

Structure (POSCAR):
```
AlRe2Os
1.0
-0.9860 -4.0885 1.0879
-0.7687 -1.0175 4.1527
-4.0295 -0.9948 1.2825
Re Os Al
2 1 1
direct
0.0000 0.0000 0.0000
0.7500 0.7500 0.7500
0.2500 0.2500 0.2500
0.5000 0.5000 0.5000
```

Values from the calculation:
Space group   F-43m (216)
Total energy   -9.967 eV per atom



[7]
Sm2IBrNCl | GGA-PBE | relaxed

Structure (POSCAR):
```
Sm2IBrNCl
1.0
-5.6534 7.2201 2.7976
-6.2605 7.1692 -1.1510
-2.8350 -11.4305 0.5831
Br Sm N Cl I
2 4 2 2 2
direct
0.7833 0.7833 0.3710
0.2167 0.2167 0.6290
0.1384 0.1384 0.7928
0.4238 0.4238 0.5372
0.5762 0.5762 0.4628
0.8616 0.8616 0.2072
0.5744 0.5744 0.6569
0.4256 0.4256 0.3431
0.6764 0.6764 0.0050
0.3236 0.3236 0.9950
0.9598 0.9598 0.7741
0.0402 0.0402 0.2259
```

Values from the calculation:
Space group   C2/m (12)
Total energy   -5.591 eV per atom
Offset from the most stable computed form   16.9 meV/atom



[8]
ZrCuSbAu | GGA-PBE | relaxed

Structure (POSCAR):
```
ZrCuSbAu
1.0
-4.2523 -1.5481 1.5888
-3.8051 0.0261 -2.9195
-1.8054 -4.1362 -1.6234
Au Zr Sb Cu
1 1 1 1
direct
0.2500 0.2500 0.2500
0.5000 0.5000 0.5000
0.0000 0.0000 0.0000
0.7500 0.7500 0.7500
```

Values from the calculation:
Space group   F-43m (216)
Total energy   -4.979 eV per atom
Offset from the most stable computed form   86.7 meV/atom



Number 5 is which compound? PuZnSb2